# 1
18
Lattice="5.5680 0.0000 0.0000 0.0000 6.9615 -4.0193 0.0000 0.0004 8.0391" Properties=species:S:1:pos:R:3 comment="Sc3AgPd5 | the Alexandria database | PBE | optimized geometry" spacegroup="P6_3/mcm, No. 193" energy_ev_per_atom=-6.087 pbc="T T T"
Pd 4.1760 2.2162 -1.2795
Pd 1.3920 4.7454 -2.7398
Pd 2.7840 2.3208 4.0197
Pd 0.0000 2.3208 4.0197
Pd 1.3920 0.0004 5.4798
Pd 1.3920 2.2165 1.2796
Pd 0.0000 4.6411 0.0001
Pd 4.1760 6.9615 -1.4600
Pd 2.7840 4.6411 0.0001
Pd 4.1760 4.7454 2.7401
Ag 0.0000 0.0000 0.0000
Ag 2.7840 0.0000 0.0000
Sc 4.1760 2.4733 1.4280
Sc 1.3920 2.4732 -1.4279
Sc 4.1760 4.4887 5.4477
Sc 1.3920 4.4886 2.5918
Sc 4.1760 0.0003 5.1831
Sc 1.3920 6.9616 -1.1634

---

# 2
8
Lattice="7.2644 0.0000 0.0000 0.0000 7.2644 0.0000 3.6322 3.6322 4.8465" Properties=species:S:1:pos:R:3 comment="Te2IrBr | the Alexandria database | PBE | optimized geometry" spacegroup="I-42d, No. 122" e_above_lowest_polymorph_mev_per_atom=328 formation_energy_uncorrected_ev_per_atom=0.0632 pbc="T T T"
Te 5.9875 1.8161 1.2116
Te 5.4483 4.9090 3.6348
Te 9.0804 9.6197 3.6348
Te 1.2769 5.4483 1.2116
Br 3.6322 7.2644 2.4232
Br 3.6322 3.6322 0.0000
Ir 7.2644 3.6322 2.4232
Ir 0.0000 0.0000 0.0000